1.
Computed, not measured: a relaxed HPbSeBr2 crystal at the PBE level of DFT.

The value obtained for the final energy is -2.391 eV per atom.

It has space group P4/mmm (No. 123), with a = 5.828 Å, b = 5.828 Å, c = 5.866 Å, α = 90.00°, β = 90.00° and γ = 90.00°. The distinct sites, in fractional coordinates, are H at (0.000, 0.000, 0.000), Pb at (0.500, 0.500, 0.500), Se at (0.500, 0.500, 0.000) and Br at (0.000, 0.500, 0.500).

***

2.
Computed, not measured: a relaxed KPdO2 crystal at the PBE level of DFT.

The calculation puts the formation energy without anion corrections at 0.14 eV per formula unit.

It has space group Fm-3m (No. 225), with a = 5.973 Å, b = 5.973 Å, c = 5.973 Å, α = 90.00°, β = 90.00° and γ = 90.00°. The distinct sites, in fractional coordinates, are K at (0.000, 0.000, 0.000), Pd at (0.000, 0.000, 0.500) and O at (0.250, 0.250, 0.250).

***

3.
Computed, not measured: a relaxed DyErLuOs crystal at the PBE level of DFT.

The energy relative to the elements comes out at 0.29 eV per formula unit.

It has space group F-43m (No. 216), with a = 7.177 Å, b = 7.177 Å, c = 7.177 Å, α = 90.00°, β = 90.00° and γ = 90.00°. The distinct sites, in fractional coordinates, are Dy at (0.000, 0.000, 0.000), Er at (0.000, 0.000, 0.500), Lu at (0.250, 0.250, 0.250) and Os at (0.250, 0.250, 0.750).

***

4.
Computed, not measured: a relaxed Tl2PtWI crystal at the PBE level of DFT.

The calculation puts the formation energy without anion corrections at 3.77 eV per formula unit.

It has space group P4/mmm (No. 123), with a = 5.693 Å, b = 5.693 Å, c = 4.798 Å, α = 90.00°, β = 90.00° and γ = 90.00°. The distinct sites, in fractional coordinates, are Tl at (0.000, 0.500, 0.000), Pt at (0.000, 0.000, 0.500), W at (0.000, 0.000, 0.000) and I at (0.500, 0.500, 0.500).

***

5.
Computed, not measured: a relaxed PuCd2AuO6 crystal at the PBE level of DFT.

The calculation puts the formation energy without anion corrections at -14.22 eV per formula unit.

It has space group C2/m (No. 12), with a = 11.019 Å, b = 5.748 Å, c = 5.364 Å, α = 90.00°, β = 115.20° and γ = 90.00°. The distinct sites, in fractional coordinates, are Pu at (0.000, 0.000, 0.000), Cd at (0.244, 0.000, 0.673), Au at (0.000, 0.500, 0.500), O at (0.093, 0.264, 0.357) and O at (0.173, 0.000, 0.998).

***

Number 1: V 39.8 A^3/atom. Number 2: V 13.3 A^3/atom. Number 3: V 23.1 A^3/atom. Number 4: V 31.1 A^3/atom. Number 5: V 15.4 A^3/atom.